No. 1
The following is a GGA-PBE calculation of a relaxed Hf8Tl2Tc crystal, from Alexandria via LeMat-Bulk.

Volume (Å³/cell): 240.24
Density of states at the Fermi level (states/eV/f.u.): 11.52
Space group: Immm (71)
DFT total energy (eV per cell): -94.46
Formation energy from the elements (eV per atom): 0.02
Spin magnetization (μB/f.u.): 0.0

Geometry as extended XYZ:
```
11
Lattice="5.0230 0.0000 0.0000 0.0000 6.6452 -0.1875 -2.5115 -3.1182 7.2854" Properties=species:S:1:pos:R:3 pbc="T T T"
Hf 2.5115 4.9563 1.7658
Hf 0.0000 4.9599 -0.1393
Hf 0.0000 0.0722 2.5093
Hf 2.5115 1.7985 1.8529
Hf 0.0000 -1.4292 5.3321
Hf 2.5115 -1.4329 7.2372
Hf 2.5115 3.4548 4.5886
Hf 0.0000 1.7285 5.2450
Tl 0.0000 3.3989 2.6130
Tl 2.5115 0.1281 4.4850
Tc 2.5115 0.0000 0.0000
```



No. 2
The following is a GGA-PBE calculation of a relaxed Hf2TlTc crystal, from Alexandria via LeMat-Bulk.

Volume (Å³/cell): 80.63
Density of states at the Fermi level (states/eV/f.u.): 2.54
Space group: P4/mmm (123)
DFT total energy (eV per cell): -33.62
Formation energy from the elements (eV per atom): -0.25
Spin magnetization (μB/f.u.): 0.0

Geometry as extended XYZ:
```
4
Lattice="3.3028 0.0000 0.0000 0.0000 3.3028 0.0000 0.0000 0.0000 7.3917" Properties=species:S:1:pos:R:3 pbc="T T T"
Tl 1.6514 1.6514 3.6958
Tc 1.6514 1.6514 0.0000
Hf 0.0000 0.0000 1.5586
Hf 0.0000 0.0000 5.8331
```



No. 3
The following is a GGA-PBE calculation of a relaxed HfTl2Tc crystal, from Alexandria via LeMat-Bulk.

Energy relative to the lowest polymorph listed for this composition (kJ per mole of atoms): 0.0
Volume (Å³/cell): 79.66
Density of states at the Fermi level (states/eV/f.u.): 2.48
Space group: Fm-3m (225)
DFT total energy (eV per cell): -23.18
Formation energy from the elements (eV per atom): 0.47
Spin magnetization (μB/f.u.): 0.0

Geometry as extended XYZ:
```
4
Lattice="0.0000 3.4152 3.4152 3.4152 0.0000 3.4152 3.4152 3.4152 0.0000" Properties=species:S:1:pos:R:3 pbc="T T T"
Hf 3.4152 3.4152 3.4152
Tc 0.0000 0.0000 0.0000
Tl 1.7076 1.7076 1.7076
Tl 5.1227 5.1227 5.1227
```



No. 4
The following is a GGA-PBE calculation of a relaxed HfTlTc3 crystal, from Alexandria via LeMat-Bulk.

Energy relative to the lowest polymorph listed for this composition (kJ per mole of atoms): 0.0
Volume (Å³/cell): 112.53
Density of states at the Fermi level (states/eV/f.u.): 3.42
Space group: Pm-3m (221)
DFT total energy (eV per cell): -34.92
Formation energy from the elements (eV per atom): 1.70
Spin magnetization (μB/f.u.): 3.9

Geometry as extended XYZ:
```
5
Lattice="4.8278 0.0000 0.0000 0.0000 4.8278 0.0000 0.0000 0.0000 4.8278" Properties=species:S:1:pos:R:3 pbc="T T T"
Tc 0.0000 2.4139 0.0000
Tc 0.0000 0.0000 2.4139
Tc 2.4139 0.0000 0.0000
Hf 0.0000 0.0000 0.0000
Tl 2.4139 2.4139 2.4139
```



No. 5
The following is a GGA-PBE calculation of a relaxed TmHfTc crystal, from Alexandria via LeMat-Bulk.

Energy relative to the lowest polymorph listed for this composition (kJ per mole of atoms): 0.0
Volume (Å³/cell): 64.90
Density of states at the Fermi level (states/eV/f.u.): 1.43
Space group: I4mm (107)
DFT total energy (eV per cell): -25.42
Formation energy from the elements (eV per atom): -0.21
Spin magnetization (μB/f.u.): 0.0

Geometry as extended XYZ:
```
3
Lattice="-2.4889 0.1882 -2.2675 0.1237 -3.3445 -0.4134 -2.6624 0.9211 5.5064" Properties=species:S:1:pos:R:3 pbc="T T T"
Tc -2.5672 -1.8147 0.1597
Tm -0.1734 -0.0296 0.1879
Hf -2.2870 -0.3908 2.4779
```



No. 6
The following is a GGA-PBE calculation of a relaxed TmHfTc crystal, from Alexandria via LeMat-Bulk.

Energy relative to the lowest polymorph listed for this composition (kJ per mole of atoms): 21.7
Volume (Å³/cell): 279.32
Density of states at the Fermi level (states/eV/f.u.): 1.40
Space group: Pnma (62)
DFT total energy (eV per cell): -98.98
Formation energy from the elements (eV per atom): 0.01
Spin magnetization (μB/f.u.): 0.0

Geometry as extended XYZ:
```
12
Lattice="4.5509 0.0000 0.0000 0.0000 6.5702 0.0000 0.0000 0.0000 9.3418" Properties=species:S:1:pos:R:3 pbc="T T T"
Tm 1.1377 6.4698 8.1522
Tm 1.1377 3.3855 3.4813
Tm 3.4132 3.1847 5.8605
Tm 3.4132 0.1004 1.1896
Hf 3.4132 6.4682 5.7872
Hf 1.1377 3.1831 8.2255
Hf 3.4132 3.3871 1.1163
Hf 1.1377 0.1020 3.5546
Tc 3.4132 4.7599 8.1724
Tc 1.1377 1.8103 1.1694
Tc 1.1377 1.4748 5.8403
Tc 3.4132 5.0954 3.5015
```